# CeTmMgPt

Crystalline CeTmMgPt at its relaxed geometry (PBE, Alexandria via LeMat-Bulk).

size of the total moment	0.67	μB per formula unit
energy of formation from the pure elements	-0.49	eV per atom
uncorrected energy	-19.99	eV for the cell shown
space group	No. 216

Cell lengths 5.109, 5.109, 5.109 Å; angles 60.00, 60.00, 60.00 degrees
Last column: magnetic moment on the atom in μB.
Fractional positions:
Mg1 0.250 0.250 0.250  0.00
Ce1 0.000 0.000 0.000  0.56
Pt1 0.750 0.750 0.750  -0.01
Tm1 0.500 0.500 0.500  0.03